# 1
First-principles (PBE) data for a relaxed structure of Cr2SbAs, as listed in the Alexandria database. Values from VASP.

Cell and atoms, written as Quantum ESPRESSO input:
```
&SYSTEM
  ibrav = 0, nat = 8, ntyp = 3
/
ATOMIC_SPECIES
Cr 52.00 Cr.upf
Sb 121.76 Sb.upf
As 74.92 As.upf
ATOMIC_POSITIONS crystal
Cr 0.000 0.000 0.000
Cr 0.000 0.500 0.300
Cr 0.500 0.000 0.800
Cr 0.500 0.500 0.500
Sb 0.000 0.500 0.685
Sb 0.500 0.000 0.185
As 0.000 0.000 0.436
As 0.500 0.500 0.936
CELL_PARAMETERS angstrom
3.086 0.000 0.000
0.000 3.614 0.000
0.000 0.000 12.460
```

Computed properties:
Symmetry: No. 44
Formation energy (no corrections): 13 kJ per mole of atoms


# 2
First-principles (PBE) data for a relaxed structure of Cs4Rb2CdSb2, as listed in the Alexandria database. Values from VASP.

Cell and atoms, written as Quantum ESPRESSO input:
```
&SYSTEM
  ibrav = 0, nat = 9, ntyp = 4
/
ATOMIC_SPECIES
Cs 132.91 Cs.upf
Rb 85.47 Rb.upf
Cd 112.41 Cd.upf
Sb 121.76 Sb.upf
ATOMIC_POSITIONS crystal
Cs 0.076 0.651 0.819
Cs 0.349 0.924 0.181
Cs 0.651 0.076 0.819
Cs 0.924 0.349 0.181
Rb 0.358 0.358 0.303
Rb 0.642 0.642 0.697
Cd 0.000 0.000 0.500
Sb 0.182 0.182 0.700
Sb 0.818 0.818 0.300
CELL_PARAMETERS angstrom
7.803 -5.883 0.000
7.803 5.883 0.000
-1.486 0.000 5.788
```

Computed properties:
Symmetry: No. 12
Formation energy (no corrections): -26 kJ per mole of atoms


# 3
First-principles (PBE) data for a relaxed structure of Y2ZrFe, as listed in the Alexandria database. Values from VASP.

Cell and atoms, written as Quantum ESPRESSO input:
```
&SYSTEM
  ibrav = 0, nat = 16, ntyp = 3
/
ATOMIC_SPECIES
Y 88.91 Y.upf
Zr 91.22 Zr.upf
Fe 55.84 Fe.upf
ATOMIC_POSITIONS crystal
Y 0.181 0.250 0.125
Y 0.250 0.681 0.375
Y 0.250 0.819 0.875
Y 0.319 0.250 0.625
Y 0.681 0.750 0.625
Y 0.750 0.181 0.875
Y 0.750 0.319 0.375
Y 0.819 0.750 0.125
Zr 0.000 0.000 0.500
Zr 0.000 0.500 0.750
Zr 0.500 0.000 0.250
Zr 0.500 0.500 0.000
Fe 0.000 0.000 0.000
Fe 0.000 0.500 0.250
Fe 0.500 0.000 0.750
Fe 0.500 0.500 0.500
CELL_PARAMETERS angstrom
8.130 0.000 0.000
0.000 8.130 0.000
0.000 0.000 5.880
```

Computed properties:
Calculated formation energy: 0.47 eV/atom
Distance to the lowest polymorph of the same formula: 0.427 eV per atom
Symmetry: No. 122


# 4
First-principles (PBE) data for a relaxed structure of Tb2Er3Tm6Th, as listed in the Alexandria database. Values from VASP.

Cell and atoms, written as Quantum ESPRESSO input:
```
&SYSTEM
  ibrav = 0, nat = 12, ntyp = 4
/
ATOMIC_SPECIES
Tb 158.93 Tb.upf
Er 167.26 Er.upf
Tm 168.93 Tm.upf
Th 232.04 Th.upf
ATOMIC_POSITIONS crystal
Tb 0.167 0.833 0.000
Tb 0.833 0.167 0.000
Er 0.000 0.000 0.500
Er 0.333 0.667 0.500
Er 0.667 0.333 0.500
Tm 0.086 0.416 0.749
Tm 0.254 0.254 0.251
Tm 0.416 0.086 0.749
Tm 0.584 0.914 0.251
Tm 0.746 0.746 0.749
Tm 0.914 0.584 0.251
Th 0.500 0.500 0.000
CELL_PARAMETERS angstrom
3.047 -5.273 0.000
3.047 5.273 0.000
-2.030 0.000 11.447
```

Computed properties:
Calculated formation energy: 0.03 eV/atom
Symmetry: No. 12


# 5
First-principles (PBE) data for a relaxed structure of RbLi2CuTe, as listed in the Alexandria database. Values from VASP.

Cell and atoms, written as Quantum ESPRESSO input:
```
&SYSTEM
  ibrav = 0, nat = 5, ntyp = 4
/
ATOMIC_SPECIES
Rb 85.47 Rb.upf
Li 6.94 Li.upf
Cu 63.55 Cu.upf
Te 127.60 Te.upf
ATOMIC_POSITIONS crystal
Rb 0.000 0.000 0.000
Li 0.000 0.500 0.500
Li 0.500 0.000 0.500
Cu 0.500 0.500 0.500
Te 0.500 0.500 0.000
CELL_PARAMETERS angstrom
5.148 0.000 0.000
0.000 5.148 0.000
0.000 0.000 5.351
```

Computed properties:
Symmetry: No. 123
Formation energy (no corrections): -16 kJ per mole of atoms


# 6
First-principles (PBE) data for a relaxed structure of PRh, as listed in the Alexandria database. Values from VASP.

Cell and atoms, written as Quantum ESPRESSO input:
```
&SYSTEM
  ibrav = 0, nat = 12, ntyp = 2
/
ATOMIC_SPECIES
P 30.97 P.upf
Rh 102.91 Rh.upf
ATOMIC_POSITIONS crystal
P 0.000 0.000 0.124
P 0.000 0.000 0.876
P 0.333 0.667 0.543
P 0.333 0.667 0.790
P 0.667 0.333 0.210
P 0.667 0.333 0.457
Rh 0.000 0.000 0.389
Rh 0.000 0.000 0.611
Rh 0.333 0.667 0.055
Rh 0.333 0.667 0.278
Rh 0.667 0.333 0.722
Rh 0.667 0.333 0.945
CELL_PARAMETERS angstrom
3.049 0.000 0.000
-1.524 2.640 0.000
0.000 0.000 21.587
```

Computed properties:
Calculated formation energy: -0.29 eV/atom
Symmetry: No. 166


# 7
First-principles (PBE) data for a relaxed structure of Th2OsPt, as listed in the Alexandria database. Values from VASP.

Cell and atoms, written as Quantum ESPRESSO input:
```
&SYSTEM
  ibrav = 0, nat = 4, ntyp = 3
/
ATOMIC_SPECIES
Th 232.04 Th.upf
Os 190.23 Os.upf
Pt 195.08 Pt.upf
ATOMIC_POSITIONS crystal
Th 0.000 0.000 0.239
Th 0.000 0.000 0.761
Os 0.500 0.500 0.000
Pt 0.500 0.500 0.500
CELL_PARAMETERS angstrom
3.560 0.000 0.000
0.000 3.560 0.000
0.000 0.000 7.337
```

Computed properties:
Calculated formation energy: -0.58 eV/atom
Symmetry: No. 123


# 8
First-principles (PBE) data for a relaxed structure of Ce2Sn2H, as listed in the Alexandria database. Values from VASP.

Cell and atoms, written as Quantum ESPRESSO input:
```
&SYSTEM
  ibrav = 0, nat = 10, ntyp = 3
/
ATOMIC_SPECIES
Ce 140.12 Ce.upf
Sn 118.71 Sn.upf
H 1.01 H.upf
ATOMIC_POSITIONS crystal
Ce 0.062 0.938 0.500
Ce 0.329 0.671 0.419
Ce 0.671 0.329 0.919
Ce 0.938 0.062 0.000
Sn 0.304 0.696 0.924
Sn 0.482 0.518 0.722
Sn 0.518 0.482 0.222
Sn 0.696 0.304 0.424
H 0.090 0.910 0.859
H 0.910 0.090 0.359
CELL_PARAMETERS angstrom
2.495 -7.734 0.000
2.495 7.734 0.000
0.000 0.000 6.610
```

Computed properties:
Symmetry: No. 36


# 9
First-principles (PBE) data for a relaxed structure of Pm2PrSb2, as listed in the Alexandria database. Values from VASP.

Cell and atoms, written as Quantum ESPRESSO input:
```
&SYSTEM
  ibrav = 0, nat = 10, ntyp = 3
/
ATOMIC_SPECIES
Pm 145.00 Pm.upf
Pr 140.91 Pr.upf
Sb 121.76 Sb.upf
ATOMIC_POSITIONS crystal
Pm 0.000 0.249 0.000
Pm 0.000 0.751 0.000
Pm 0.500 0.251 0.000
Pm 0.500 0.749 0.000
Pr 0.000 0.500 0.500
Pr 0.500 0.000 0.500
Sb 0.103 0.000 0.702
Sb 0.397 0.500 0.298
Sb 0.603 0.500 0.702
Sb 0.897 0.000 0.298
CELL_PARAMETERS angstrom
6.471 0.000 0.000
0.000 6.532 0.000
-3.225 0.000 7.371
```

Computed properties:
Symmetry: No. 12
Formation energy (no corrections): -68 kJ per mole of atoms


# 10
First-principles (PBE) data for a relaxed structure of TbNi5Rh2, as listed in the Alexandria database. Values from VASP.

Cell and atoms, written as Quantum ESPRESSO input:
```
&SYSTEM
  ibrav = 0, nat = 16, ntyp = 3
/
ATOMIC_SPECIES
Tb 158.93 Tb.upf
Ni 58.69 Ni.upf
Rh 102.91 Rh.upf
ATOMIC_POSITIONS crystal
Tb 0.000 0.000 0.000
Tb 0.500 0.500 0.500
Ni 0.000 0.181 0.374
Ni 0.000 0.181 0.626
Ni 0.000 0.500 0.000
Ni 0.000 0.819 0.374
Ni 0.000 0.819 0.626
Ni 0.500 0.000 0.500
Ni 0.500 0.319 0.126
Ni 0.500 0.319 0.874
Ni 0.500 0.681 0.126
Ni 0.500 0.681 0.874
Rh 0.000 0.500 0.257
Rh 0.000 0.500 0.743
Rh 0.500 0.000 0.243
Rh 0.500 0.000 0.757
CELL_PARAMETERS angstrom
3.674 0.000 0.000
0.000 6.667 0.000
0.000 0.000 9.561
```

Computed properties:
Calculated formation energy: -0.02 eV/atom
Symmetry: No. 71


# 11
First-principles (PBE) data for a relaxed structure of ZrBi3Pb, as listed in the Alexandria database. Values from VASP.

Cell and atoms, written as Quantum ESPRESSO input:
```
&SYSTEM
  ibrav = 0, nat = 5, ntyp = 3
/
ATOMIC_SPECIES
Zr 91.22 Zr.upf
Bi 208.98 Bi.upf
Pb 207.20 Pb.upf
ATOMIC_POSITIONS crystal
Zr 0.000 0.000 0.000
Bi 0.000 0.500 0.500
Bi 0.500 0.000 0.500
Bi 0.500 0.500 0.000
Pb 0.500 0.500 0.500
CELL_PARAMETERS angstrom
5.765 0.000 0.000
0.000 5.765 0.000
0.000 0.000 5.765
```

Computed properties:
Calculated formation energy: 1.15 eV/atom
Distance to the lowest polymorph of the same formula: 0.886 eV per atom
Symmetry: No. 221


# 12
First-principles (PBE) data for a relaxed structure of Ac3Hg2Pd, as listed in the Alexandria database. Values from VASP.

Cell and atoms, written as Quantum ESPRESSO input:
```
&SYSTEM
  ibrav = 0, nat = 12, ntyp = 3
/
ATOMIC_SPECIES
Ac 227.00 Ac.upf
Hg 200.59 Hg.upf
Pd 106.42 Pd.upf
ATOMIC_POSITIONS crystal
Ac 0.000 0.000 0.000
Ac 0.142 0.500 0.641
Ac 0.358 0.000 0.359
Ac 0.500 0.500 0.000
Ac 0.642 0.000 0.641
Ac 0.858 0.500 0.359
Hg 0.182 0.000 0.684
Hg 0.318 0.500 0.316
Hg 0.682 0.500 0.684
Hg 0.818 0.000 0.316
Pd 0.000 0.500 0.000
Pd 0.500 0.000 0.000
CELL_PARAMETERS angstrom
15.910 0.000 0.000
0.000 6.485 0.000
-1.131 0.000 4.090
```

Computed properties:
Calculated formation energy: -0.48 eV/atom
Distance to the lowest polymorph of the same formula: 0.080 eV per atom
Symmetry: No. 12


# 13
First-principles (PBE) data for a relaxed structure of K2AlCdH6, as listed in the Alexandria database. Values from VASP.

Cell and atoms, written as Quantum ESPRESSO input:
```
&SYSTEM
  ibrav = 0, nat = 10, ntyp = 4
/
ATOMIC_SPECIES
K 39.10 K.upf
Al 26.98 Al.upf
Cd 112.41 Cd.upf
H 1.01 H.upf
ATOMIC_POSITIONS crystal
K 0.250 0.750 0.000
K 0.750 0.250 0.000
Al 0.000 0.000 0.500
Cd 0.500 0.500 0.500
H 0.222 0.222 0.944
H 0.223 0.223 0.499
H 0.223 0.777 0.500
H 0.777 0.223 0.500
H 0.777 0.777 0.501
H 0.778 0.778 0.056
CELL_PARAMETERS angstrom
4.047 -4.048 0.000
4.047 4.048 0.000
-4.040 0.000 4.078
```

Computed properties:
Symmetry: No. 12


# 14
First-principles (PBE) data for a relaxed structure of Sc2RhBr, as listed in the Alexandria database. Values from VASP.

Cell and atoms, written as Quantum ESPRESSO input:
```
&SYSTEM
  ibrav = 0, nat = 4, ntyp = 3
/
ATOMIC_SPECIES
Sc 44.96 Sc.upf
Rh 102.91 Rh.upf
Br 79.90 Br.upf
ATOMIC_POSITIONS crystal
Sc 0.000 0.000 0.204
Sc 0.000 0.000 0.796
Rh 0.500 0.500 0.000
Br 0.500 0.500 0.500
CELL_PARAMETERS angstrom
3.256 0.000 0.000
0.000 3.256 0.000
0.000 0.000 7.739
```

Computed properties:
Distance to the lowest polymorph of the same formula: 0.110 eV per atom
Symmetry: No. 123
Formation energy (no corrections): -79 kJ per mole of atoms


# 15
First-principles (PBE) data for a relaxed structure of GeS2BrN, as listed in the Alexandria database. Values from VASP.

Cell and atoms, written as Quantum ESPRESSO input:
```
&SYSTEM
  ibrav = 0, nat = 5, ntyp = 4
/
ATOMIC_SPECIES
Ge 72.64 Ge.upf
S 32.06 S.upf
Br 79.90 Br.upf
N 14.01 N.upf
ATOMIC_POSITIONS crystal
Ge 0.000 0.000 0.000
S 0.000 0.500 0.500
S 0.500 0.000 0.500
Br 0.500 0.500 0.500
N 0.500 0.500 0.000
CELL_PARAMETERS angstrom
5.050 0.000 0.000
0.000 5.050 0.000
0.000 0.000 3.736
```

Computed properties:
Distance to the lowest polymorph of the same formula: 0.438 eV per atom
Symmetry: No. 123
Formation energy (no corrections): 140 kJ per mole of atoms


# 16
First-principles (PBE) data for a relaxed structure of Nd3Ho2In2, as listed in the Alexandria database. Values from VASP.

Cell and atoms, written as Quantum ESPRESSO input:
```
&SYSTEM
  ibrav = 0, nat = 14, ntyp = 3
/
ATOMIC_SPECIES
Nd 144.24 Nd.upf
Ho 164.93 Ho.upf
In 114.82 In.upf
ATOMIC_POSITIONS crystal
Nd 0.000 0.000 0.000
Nd 0.000 0.142 0.000
Nd 0.000 0.858 0.000
Nd 0.500 0.358 0.000
Nd 0.500 0.500 0.000
Nd 0.500 0.642 0.000
Ho 0.000 0.287 0.500
Ho 0.000 0.713 0.500
Ho 0.500 0.213 0.500
Ho 0.500 0.787 0.500
In 0.000 0.429 0.500
In 0.000 0.571 0.500
In 0.500 0.071 0.500
In 0.500 0.929 0.500
CELL_PARAMETERS angstrom
4.981 0.000 0.000
0.000 24.079 0.000
0.000 0.000 3.527
```

Computed properties:
Calculated formation energy: -0.16 eV/atom
Distance to the lowest polymorph of the same formula: 0.000 eV per atom
Symmetry: No. 65


# 17
First-principles (PBE) data for a relaxed structure of Ho4Cr, as listed in the Alexandria database. Values from VASP.

Cell and atoms, written as Quantum ESPRESSO input:
```
&SYSTEM
  ibrav = 0, nat = 5, ntyp = 2
/
ATOMIC_SPECIES
Ho 164.93 Ho.upf
Cr 52.00 Cr.upf
ATOMIC_POSITIONS crystal
Ho 0.000 0.000 0.000
Ho 0.000 0.500 0.500
Ho 0.500 0.000 0.500
Ho 0.500 0.500 0.000
Cr 0.500 0.500 0.500
CELL_PARAMETERS angstrom
5.315 0.000 0.000
0.000 5.315 0.000
0.000 0.000 5.315
```

Computed properties:
Calculated formation energy: 0.39 eV/atom
Symmetry: No. 221


| no. | raw total energy (eV per atom) |
| --- | --- |
| 1 | -6.87 |
| 2 | -1.88 |
| 3 | -7.02 |
| 4 | -4.74 |
| 5 | -2.58 |
| 6 | -6.67 |
| 7 | -8.60 |
| 8 | -5.10 |
| 9 | -5.21 |
| 10 | -6.05 |
| 11 | -3.63 |
| 12 | -3.50 |
| 13 | -2.81 |
| 14 | -6.24 |
| 15 | -3.13 |
| 16 | -4.30 |
| 17 | -5.20 |